Record 1
An optimized crystal structure of TaReF2, computed with GGA-PBE.

a b c (Å): 10.639 10.639 10.639
angles (deg): 14.71 14.71 14.71
Fractional positions:
Re (0.000, 0.000, 0.000)
F (0.882, 0.882, 0.882)
F (0.118, 0.118, 0.118)
Ta (0.500, 0.500, 0.500)

Output
Its total energy is -31.21 eV for the cell shown. The magnetization comes out at 0.20 μB/atom. As for the formation energy without anion corrections: -791 meV/atom. The calculated volume comes out at 16.90 Å³/atom.



Record 2
An optimized crystal structure of ScRu4W, computed with GGA-PBE.

a b c (Å): 5.110 5.110 5.110
angles (deg): 60.00 60.00 60.00
Fractional positions:
Sc (0.750, 0.750, 0.750)
Ru (0.874, 0.375, 0.375)
Ru (0.375, 0.375, 0.874)
Ru (0.375, 0.874, 0.375)
Ru (0.375, 0.375, 0.375)
W (0.000, 0.000, 0.000)

Output
Its total energy is -56.09 eV for the cell shown. The magnetization comes out at 0.00 μB/atom. The energy relative to the elements comes out at 0.05 eV/atom. The calculated volume comes out at 15.73 Å³/atom.



Record 3
An optimized crystal structure of PmNpInSn, computed with GGA-PBE.

a b c (Å): 5.382 5.382 5.382
angles (deg): 60.00 60.00 60.00
Fractional positions:
Np (0.000, 0.000, 0.000)
In (0.750, 0.750, 0.750)
Sn (0.250, 0.250, 0.250)
Pm (0.500, 0.500, 0.500)

Output
Its total energy is -24.97 eV for the cell shown. The magnetization comes out at 1.15 μB/atom. The energy relative to the elements comes out at -0.13 eV/atom. The calculated volume comes out at 27.56 Å³/atom.



- What is the formula in the first record?
  TaReF2



- Which value of calculated volume does entry 1 give?
  16.90 Å³/atom